Record 1
ReHg4Br after structural relaxation, computed with PBE-GGA.

Properties
- magnetic moment (μB/f.u.) = 5.1
- VASP energy (eV/atom) = -1.572
- energy relative to the elements, uncorrected (eV/f.u.) = 5.90

Lattice parameters (Å, degrees): 8.614 8.614 8.614 90.00 90.00 90.00
Space group F-43m (No. 216)
Inequivalent atoms, fractional coordinates:
Re1 0.000 0.000 0.000 [4 per cell]
Hg1 0.125 0.125 0.375 [16 per cell]
Br1 0.250 0.250 0.750 [4 per cell]

---

Record 2
ZrZnHg after structural relaxation, computed with PBE-GGA.

Properties
- E above lowest polymorph (meV/atom) = 449.5
- magnetic moment (μB/f.u.) = 0.0
- energy of formation from the pure elements (kJ/mol of formula units) = 81
- VASP energy (eV/atom) = -3.095

Lattice parameters (Å, degrees): 6.575 6.575 6.575 90.00 90.00 90.00
Space group F-43m (No. 216)
Inequivalent atoms, fractional coordinates:
Zr1 0.000 0.000 0.000 [4 per cell]
Zn1 0.250 0.250 0.750 [4 per cell]
Hg1 0.250 0.250 0.250 [4 per cell]

---

Record 3
CaOs2 after structural relaxation, computed with PBE-GGA.

Properties
- magnetic moment (μB/f.u.) = 0.0
- energy of formation from the pure elements (kJ/mol of formula units) = 111
- VASP energy (eV/atom) = -7.771

Lattice parameters (Å, degrees): 2.931 2.931 12.847 90.00 90.00 90.00
Space group I4/mmm (No. 139)
Inequivalent atoms, fractional coordinates:
Ca1 0.000 0.000 0.000 [2 per cell]
Os1 0.000 0.000 0.308 [4 per cell]

---

Record 4
CaReTe2N after structural relaxation, computed with PBE-GGA.

Properties
- E above lowest polymorph (meV/atom) = 1853.2
- magnetic moment (μB/f.u.) = 6.4
- VASP energy (eV/atom) = -4.202
- energy relative to the elements, uncorrected (eV/f.u.) = 8.05

Lattice parameters (Å, degrees): 5.822 5.822 4.315 90.00 90.00 90.00
Space group P4/mmm (No. 123)
Inequivalent atoms, fractional coordinates:
Ca1 0.000 0.000 0.000 [1 per cell]
Re1 0.500 0.500 0.500 [1 per cell]
Te1 0.000 0.500 0.000 [2 per cell]
N1 0.000 0.000 0.500 [1 per cell]

---

Record 5
TbMn2Ni9 after structural relaxation, computed with PBE-GGA.

Properties
- magnetic moment (μB/f.u.) = 12.2
- energy of formation from the pure elements (kJ/mol of formula units) = -185
- VASP energy (eV/atom) = -6.410

Lattice parameters (Å, degrees): 4.8066 4.8066 23.3220 90.00 90.00 120.00
Space group R-3m (No. 166, hexagonal axes)
Inequivalent atoms, fractional coordinates:
Tb1 0.0000 0.0000 0.0000 [3 per cell]
Mn1 0.0000 0.0000 0.1451 [6 per cell]
Ni1 0.0000 0.0000 0.3341 [6 per cell]
Ni2 0.0000 0.0000 0.5000 [3 per cell]
Ni3 0.0049 0.5025 0.9137 [18 per cell]

---

Record 6
POs after structural relaxation, computed with PBE-GGA.

Properties
- magnetic moment (μB/f.u.) = 0.0
- energy of formation from the pure elements (kJ/mol of formula units) = 1
- VASP energy (eV/atom) = -8.314

Lattice parameters (Å, degrees): 3.780 10.356 5.873 90.00 90.00 90.00
Space group Pmmn (No. 59, origin choice 2)
Inequivalent atoms, fractional coordinates:
P1 0.250 0.105 0.181 [4 per cell]
P2 0.250 0.750 0.327 [2 per cell]
Os1 0.250 0.250 0.464 [2 per cell]
Os2 0.250 0.603 0.039 [4 per cell]

---

Record 7
Pd4Au after structural relaxation, computed with PBE-GGA.

Properties
- E above lowest polymorph (meV/atom) = 1216.0
- magnetic moment (μB/f.u.) = 0.0
- energy of formation from the pure elements (kJ/mol of formula units) = 577
- VASP energy (eV/atom) = -3.614

Lattice parameters (Å, degrees): 4.916 4.916 4.916 90.00 90.00 90.00
Space group Pm-3m (No. 221)
Inequivalent atoms, fractional coordinates:
Pd1 0.000 0.000 0.000 [1 per cell]
Pd2 0.000 0.500 0.500 [3 per cell]
Au1 0.500 0.500 0.500 [1 per cell]

---

Record 8
Cs3NiHg2Cl9 after structural relaxation, computed with PBE-GGA.

Properties
- magnetic moment (μB/f.u.) = 1.8
- VASP energy (eV/atom) = -2.844
- energy relative to the elements, uncorrected (eV/f.u.) = -17.09

Lattice parameters (Å, degrees): 7.4106 7.4106 9.0789 90.00 90.00 120.00
Space group P-3m1 (No. 164)
Inequivalent atoms, fractional coordinates:
Cs1 0.0000 0.0000 0.0000 [1 per cell]
Cs2 0.3333 0.6667 0.6664 [2 per cell]
Ni1 0.0000 0.0000 0.5000 [1 per cell]
Hg1 0.3333 0.6667 0.1814 [2 per cell]
Cl1 0.0000 0.5000 0.0000 [3 per cell]
Cl2 0.1556 0.3112 0.3454 [6 per cell]

---

Record 9
Pr6Nd3In after structural relaxation, computed with PBE-GGA.

Properties
- E above lowest polymorph (meV/atom) = 2.5
- magnetic moment (μB/f.u.) = 0.0
- energy of formation from the pure elements (kJ/mol of formula units) = -11
- VASP energy (eV/atom) = -4.583

Lattice parameters (Å, degrees): 12.662 3.682 15.150 90.00 94.38 90.00
Space group P2_1/m (No. 11)
Inequivalent atoms, fractional coordinates:
Pr1 0.059 0.250 0.396 [2 per cell]
Pr2 0.120 0.750 0.958 [2 per cell]
Pr3 0.196 0.250 0.745 [2 per cell]
Pr4 0.292 0.750 0.318 [2 per cell]
Pr5 0.313 0.250 0.111 [2 per cell]
Pr6 0.388 0.250 0.497 [2 per cell]
Nd1 0.071 0.750 0.184 [2 per cell]
Nd2 0.398 0.750 0.919 [2 per cell]
Nd3 0.446 0.750 0.698 [2 per cell]
In1 0.194 0.750 0.557 [2 per cell]

---

Record 10
Hf2Nb3H8 after structural relaxation, computed with PBE-GGA.

Properties
- magnetic moment (μB/f.u.) = 0.0
- VASP energy (eV/atom) = -6.131

Lattice parameters (Å, degrees): 9.765 5.750 4.853 90.00 113.58 90.00
Space group C2/m (No. 12)
Inequivalent atoms, fractional coordinates:
Hf1 0.183 0.000 0.162 [4 per cell]
Nb1 0.000 0.241 0.500 [4 per cell]
Nb2 0.000 0.500 0.000 [2 per cell]
H1 0.124 0.500 0.440 [4 per cell]
H2 0.147 0.000 0.548 [4 per cell]
H3 0.147 0.303 0.919 [8 per cell]

---

Record 11
Pu4U2Os3 after structural relaxation, computed with PBE-GGA.

Properties
- magnetic moment (μB/f.u.) = 0.2
- energy of formation from the pure elements (kJ/mol of formula units) = 171
- VASP energy (eV/atom) = -12.424

Lattice parameters (Å, degrees): 8.103 20.074 5.850 90.00 128.48 90.00
Space group C2/c (No. 15)
Inequivalent atoms, fractional coordinates:
Pu1 0.139 0.242 0.167 [8 per cell]
Pu2 0.238 0.486 0.723 [8 per cell]
U1 0.215 0.368 0.923 [8 per cell]
Os1 0.000 0.372 0.250 [4 per cell]
Os2 0.114 0.120 0.524 [8 per cell]

---

Record 12
NiHS2 after structural relaxation, computed with PBE-GGA.

Properties
- E above lowest polymorph (meV/atom) = 355.7
- magnetic moment (μB/f.u.) = 0.0
- VASP energy (eV/atom) = -4.159

Lattice parameters (Å, degrees): 4.835 4.835 9.373 90.00 90.00 90.00
Space group I-42d (No. 122)
Inequivalent atoms, fractional coordinates:
Ni1 0.000 0.000 0.000 [4 per cell]
H1 0.000 0.000 0.500 [4 per cell]
S1 0.227 0.250 0.625 [8 per cell]